Material: KBeCd
Method: DFT, PBE-GGA
State: relaxed

Geometry as CIF:
```
data_KBeCd
_chemical_formula_sum 'K4 Be4 Cd4'
_space_group_name_H-M_alt 'F -4 3 m'
_space_group_IT_number 216
_space_group_name_Hall 'F -4 2 3'
_cell_length_a 7.072
_cell_length_b 7.072
_cell_length_c 7.072
_cell_angle_alpha 90.00
_cell_angle_beta 90.00
_cell_angle_gamma 90.00
loop_
_atom_site_label
_atom_site_fract_x
_atom_site_fract_y
_atom_site_fract_z
K1 0.000 0.000 0.000
Be1 0.250 0.250 0.250
Cd1 0.000 0.000 0.500
```

Calculated values
The calculation puts the density at 3.01 g cm⁻³. The calculation puts the formation energy at 743 meV/atom. The energy above the most stable polymorph in this dataset comes out at 0.4844 eV per atom. The energy is -14.044 eV per cell.